Compound: NaY2Hf
Source: Alexandria via LeMat-Bulk
Functional: PBE
Structure: optimized geometry

extended XYZ file:
```
8
Lattice="4.652 0.000 0.000 0.000 4.652 0.000 2.326 2.326 11.049" Properties=species:S:1:pos:R:3 pbc="T T T"
Y 3.528 1.163 2.762
Y 1.124 3.489 2.762
Y 3.489 3.451 8.287
Y 5.816 5.854 8.287
Na 2.326 2.326 0.000
Na 2.326 4.652 5.525
Hf 0.000 0.000 0.000
Hf 4.652 2.326 5.525
```

Results
Total magnetization, μB/f.u.: 0.00
Space-group type: I-42d
Formation energy from the elements, eV per atom: 0.87